Record 1
Compound: LaRhCl2
Source: Alexandria via LeMat-Bulk
Functional: PBEsol
Structure: relaxed

POSCAR file:
```
LaRhCl2
1.0
3.7041 0.0000 0.0000
0.0000 5.2505 0.0460
-1.8521 -0.3643 5.3515
Rh Cl La
1 2 1
Cartesian
1.8521 1.6213 3.7193
0.0000 2.7525 2.1395
1.8521 -0.2554 5.1195
0.0000 2.6643 5.1454
```

Calculated values
- space group = Cm (8)
- magnetization (μB per formula unit) = 0.000
- excess energy over the best structure of this formula in the dataset (meV/atom) = 0.0

Record 2
Compound: LaRhCl2
Source: Alexandria via LeMat-Bulk
Functional: PBEsol
Structure: relaxed

POSCAR file:
```
LaRhCl2
1.0
4.7569 0.0000 0.0000
2.3785 4.1196 0.0000
2.3785 1.3732 3.8840
La Cl Rh
1 2 1
Cartesian
0.0000 0.0000 0.0000
2.3785 1.3732 0.9710
7.1354 4.1196 2.9130
4.7569 2.7464 1.9420
```

Calculated values
- space group = Fm-3m (225)
- magnetization (μB per formula unit) = 0.000
- excess energy over the best structure of this formula in the dataset (meV/atom) = 299.4
- DOS at the Fermi energy (states/eV/cell) = 2.36

Record 3
Compound: LaRhCl2
Source: Alexandria via LeMat-Bulk
Functional: PBEsol
Structure: relaxed

POSCAR file:
```
LaRhCl2
1.0
-2.9634 1.1814 -2.1943
-1.4287 -3.5988 -0.0070
-3.1023 1.2222 4.8477
Cl La Rh
2 1 1
Cartesian
-4.3118 -0.3752 2.2054
-0.0879 0.0346 0.1373
-1.5397 0.6066 2.4059
-3.1063 -0.8501 0.3216
```

Calculated values
- space group = P4mm (99)
- magnetization (μB per formula unit) = 0.000
- excess energy over the best structure of this formula in the dataset (meV/atom) = 82.3

Record 4
Compound: La4RhCl
Source: Alexandria via LeMat-Bulk
Functional: PBEsol
Structure: relaxed

POSCAR file:
```
La4RhCl
1.0
-4.4948 4.0071 0.9876
-5.7732 -1.9321 0.4157
-2.8705 0.0993 5.3838
Cl La Rh
1 4 1
Cartesian
0.0000 0.0000 0.0000
-7.1757 2.8229 3.0382
-6.3617 0.8645 5.2413
-4.9231 0.8147 2.5432
-7.8164 -0.1536 2.7515
-9.8539 1.6307 5.0903
```

Calculated values
- space group = F-43m (216)
- magnetization (μB per formula unit) = 0.000
- DOS at the Fermi energy (states/eV/cell) = 7.92

no.,formation energy from raw total energies (eV per formula unit),electronic total energy (eV per cell)
1,-4.80,-22.301
2,-3.60,-21.103
3,-4.47,-21.972
4,1.89,-29.643